Crystalline ZrTiFeCu at its relaxed geometry. Source: the Alexandria database, functional PBE-GGA.

Values from the calculation:
DOS at the Fermi energy = 1.018 states/eV/atom
VASP energy = -29.513 eV per formula unit

a b c (Å): 6.269 6.269 6.269
angles (deg): 90.00 90.00 90.00
Sites, in units of the cell vectors:
Zr  0.000  0.000  0.000
Zr  0.000  0.500  0.500
Zr  0.500  0.000  0.500
Zr  0.500  0.500  0.000
Ti  0.000  0.000  0.500
Ti  0.000  0.500  0.000
Ti  0.500  0.000  0.000
Ti  0.500  0.500  0.500
Fe  0.250  0.250  0.250
Fe  0.250  0.750  0.750
Fe  0.750  0.250  0.750
Fe  0.750  0.750  0.250
Cu  0.250  0.250  0.750
Cu  0.250  0.750  0.250
Cu  0.750  0.250  0.250
Cu  0.750  0.750  0.750



Crystalline Mo2Pd2Cl at its relaxed geometry. Source: the Alexandria database, functional PBE-GGA.

Values from the calculation:
DOS at the Fermi energy = 0.934 states/eV/atom
VASP energy = -32.218 eV per formula unit
Raw formation energy = 0.335 eV per atom
Energy above the most stable polymorph in this dataset = 0 meV/atom

a b c (Å): 3.583 3.583 14.381
angles (deg): 90.00 90.00 90.00
Sites, in units of the cell vectors:
Mo  0.000  0.500  0.250
Mo  0.000  0.500  0.750
Mo  0.500  0.000  0.250
Mo  0.500  0.000  0.750
Pd  0.000  0.000  0.108
Pd  0.000  0.000  0.892
Pd  0.500  0.500  0.392
Pd  0.500  0.500  0.608
Cl  0.000  0.000  0.500
Cl  0.500  0.500  0.000



Crystalline NaSCl4 at its relaxed geometry. Source: the Alexandria database, functional PBE-GGA.

Values from the calculation:
DOS at the Fermi energy = 0.510 states/eV/atom
VASP energy = -15.978 eV per formula unit
Raw formation energy = -0.524 eV per atom
Energy above the most stable polymorph in this dataset = 39 meV/atom

a b c (Å): 6.466 8.505 7.310
angles (deg): 90.00 97.21 90.00
Sites, in units of the cell vectors:
Na  0.028  0.250  0.062
Na  0.972  0.750  0.938
S  0.298  0.750  0.468
S  0.702  0.250  0.532
Cl  0.111  0.541  0.207
Cl  0.111  0.959  0.207
Cl  0.385  0.750  0.754
Cl  0.424  0.250  0.622
Cl  0.576  0.750  0.378
Cl  0.615  0.250  0.246
Cl  0.889  0.041  0.793
Cl  0.889  0.459  0.793



Crystalline NbCr2Co at its relaxed geometry. Source: the Alexandria database, functional PBE-GGA.

Values from the calculation:
DOS at the Fermi energy = 0.551 states/eV/atom
VASP energy = -35.575 eV per formula unit
Energy above the most stable polymorph in this dataset = 0 meV/atom

a b c (Å): 5.947 5.947 5.947
angles (deg): 90.00 90.00 90.00
Sites, in units of the cell vectors:
Nb  0.000  0.000  0.000
Nb  0.000  0.500  0.500
Nb  0.500  0.000  0.500
Nb  0.500  0.500  0.000
Cr  0.250  0.250  0.250
Cr  0.250  0.250  0.750
Cr  0.250  0.750  0.250
Cr  0.250  0.750  0.750
Cr  0.750  0.250  0.250
Cr  0.750  0.250  0.750
Cr  0.750  0.750  0.250
Cr  0.750  0.750  0.750
Co  0.000  0.000  0.500
Co  0.000  0.500  0.000
Co  0.500  0.000  0.000
Co  0.500  0.500  0.500



Crystalline NaAc2Si3Au4 at its relaxed geometry. Source: the Alexandria database, functional PBE-GGA.

Values from the calculation:
DOS at the Fermi energy = 0.487 states/eV/atom
VASP energy = -44.399 eV per formula unit
Raw formation energy = -0.548 eV per atom

a b c (Å): 4.542 4.542 10.573
angles (deg): 90.00 90.00 90.00
Sites, in units of the cell vectors:
Na  0.000  0.000  0.000
Ac  0.000  0.500  0.740
Ac  0.500  0.000  0.260
Si  0.000  0.500  0.373
Si  0.500  0.000  0.627
Si  0.500  0.500  0.000
Au  0.000  0.000  0.500
Au  0.000  0.500  0.137
Au  0.500  0.000  0.863
Au  0.500  0.500  0.500



Crystalline VIr3 at its relaxed geometry. Source: the Alexandria database, functional PBE-GGA.

Values from the calculation:
DOS at the Fermi energy = 1.063 states/eV/atom
VASP energy = -37.112 eV per formula unit

a b c (Å): 2.749 8.692 4.747
angles (deg): 90.00 90.00 90.00
Sites, in units of the cell vectors:
V  0.000  0.000  0.000
V  0.500  0.500  0.500
Ir  0.000  0.252  0.668
Ir  0.000  0.500  0.007
Ir  0.000  0.748  0.668
Ir  0.500  0.000  0.507
Ir  0.500  0.248  0.168
Ir  0.500  0.752  0.168



Crystalline BeIrPb2 at its relaxed geometry. Source: the Alexandria database, functional PBE-GGA.

Values from the calculation:
DOS at the Fermi energy = 0.589 states/eV/atom
VASP energy = -19.977 eV per formula unit

a b c (Å): 6.666 3.834 7.290
angles (deg): 90.00 107.39 90.00
Sites, in units of the cell vectors:
Be  0.000  0.000  0.000
Be  0.500  0.500  0.000
Ir  0.332  0.000  0.998
Ir  0.832  0.500  0.998
Pb  0.071  0.500  0.709
Pb  0.260  0.500  0.287
Pb  0.571  0.000  0.709
Pb  0.760  0.000  0.287



Crystalline LiSe2Cl at its relaxed geometry. Source: the Alexandria database, functional PBE-GGA.

Values from the calculation:
DOS at the Fermi energy = 0.246 states/eV/atom
VASP energy = -13.770 eV per formula unit
Raw formation energy = -0.760 eV per atom
Energy above the most stable polymorph in this dataset = 9 meV/atom

a b c (Å): 3.568 3.568 8.714
angles (deg): 90.00 90.00 90.00
Sites, in units of the cell vectors:
Li  0.000  0.000  0.000
Se  0.000  0.000  0.614
Se  0.500  0.500  0.528
Cl  0.500  0.500  0.009



Crystalline MoOs2Rh at its relaxed geometry. Source: the Alexandria database, functional PBE-GGA.

Values from the calculation:
DOS at the Fermi energy = 1.487 states/eV/atom
VASP energy = -38.789 eV per formula unit
Energy above the most stable polymorph in this dataset = 512 meV/atom

a b c (Å): 6.209 6.209 6.209
angles (deg): 90.00 90.00 90.00
Sites, in units of the cell vectors:
Mo  0.000  0.000  0.000
Mo  0.000  0.500  0.500
Mo  0.500  0.000  0.500
Mo  0.500  0.500  0.000
Os  0.000  0.000  0.500
Os  0.000  0.500  0.000
Os  0.250  0.250  0.750
Os  0.250  0.750  0.250
Os  0.500  0.000  0.000
Os  0.500  0.500  0.500
Os  0.750  0.250  0.250
Os  0.750  0.750  0.750
Rh  0.250  0.250  0.250
Rh  0.250  0.750  0.750
Rh  0.750  0.250  0.750
Rh  0.750  0.750  0.250



Crystalline Tc2HgRh at its relaxed geometry. Source: the Alexandria database, functional PBE-GGA.

Values from the calculation:
DOS at the Fermi energy = 1.293 states/eV/atom
VASP energy = -26.971 eV per formula unit

a b c (Å): 2.807 2.807 27.911
angles (deg): 90.00 90.00 120.00
Sites, in units of the cell vectors:
Tc  0.000  0.000  0.244
Tc  0.000  0.000  0.756
Tc  0.333  0.667  0.423
Tc  0.333  0.667  0.910
Tc  0.667  0.333  0.090
Tc  0.667  0.333  0.577
Hg  0.000  0.000  0.000
Hg  0.333  0.667  0.667
Hg  0.667  0.333  0.333
Rh  0.000  0.000  0.500
Rh  0.333  0.667  0.167
Rh  0.667  0.333  0.833



Crystalline Pu4ZrN5 at its relaxed geometry. Source: the Alexandria database, functional PBE-GGA.

Values from the calculation:
DOS at the Fermi energy = 2.514 states/eV/atom
VASP energy = -120.947 eV per formula unit
Raw formation energy = -1.344 eV per atom

a b c (Å): 5.961 5.961 5.961
angles (deg): 99.58 99.58 131.85
Sites, in units of the cell vectors:
Pu  0.100  0.298  0.398
Pu  0.298  0.900  0.199
Pu  0.702  0.100  0.801
Pu  0.900  0.702  0.602
Zr  0.500  0.500  0.000
N  0.000  0.000  0.000
N  0.211  0.597  0.807
N  0.403  0.211  0.614
N  0.597  0.789  0.386
N  0.789  0.403  0.193



Crystalline Li2AcHoPd5 at its relaxed geometry. Source: the Alexandria database, functional PBE-GGA.

Values from the calculation:
DOS at the Fermi energy = 0.414 states/eV/atom
VASP energy = -44.078 eV per formula unit

a b c (Å): 4.534 4.534 8.033
angles (deg): 90.00 90.00 90.00
Sites, in units of the cell vectors:
Li  0.000  0.000  0.141
Li  0.000  0.000  0.859
Ac  0.500  0.500  0.500
Ho  0.500  0.500  0.000
Pd  0.000  0.000  0.500
Pd  0.000  0.500  0.240
Pd  0.000  0.500  0.760
Pd  0.500  0.000  0.240
Pd  0.500  0.000  0.760



Crystalline KYAs2 at its relaxed geometry. Source: the Alexandria database, functional PBE-GGA.

Values from the calculation:
DOS at the Fermi energy = 0.306 states/eV/atom
VASP energy = -20.112 eV per formula unit
Energy above the most stable polymorph in this dataset = 0 meV/atom

a b c (Å): 3.902 3.898 7.217
angles (deg): 90.00 90.07 90.00
Sites, in units of the cell vectors:
K  0.000  0.000  0.000
Y  0.000  0.000  0.500
As  0.500  0.500  0.322
As  0.500  0.500  0.678



Crystalline AcSm7Y12 at its relaxed geometry. Source: the Alexandria database, functional PBE-GGA.

Values from the calculation:
DOS at the Fermi energy = 1.338 states/eV/atom
VASP energy = -102.365 eV per formula unit
Energy above the most stable polymorph in this dataset = 383 meV/atom

a b c (Å): 9.852 9.852 9.852
angles (deg): 109.47 109.47 109.47
Sites, in units of the cell vectors:
Ac  0.000  0.000  0.000
Sm  0.000  0.000  0.500
Sm  0.000  0.500  0.000
Sm  0.000  0.500  0.500
Sm  0.500  0.000  0.000
Sm  0.500  0.000  0.500
Sm  0.500  0.500  0.000
Sm  0.500  0.500  0.500
Y  0.000  0.255  0.745
Y  0.000  0.745  0.255
Y  0.255  0.000  0.745
Y  0.255  0.255  0.510
Y  0.255  0.510  0.255
Y  0.255  0.745  0.000
Y  0.490  0.745  0.745
Y  0.510  0.255  0.255
Y  0.745  0.000  0.255
Y  0.745  0.255  0.000
Y  0.745  0.490  0.745
Y  0.745  0.745  0.490



Crystalline CaTiGa2Fe at its relaxed geometry. Source: the Alexandria database, functional PBE-GGA.

Values from the calculation:
DOS at the Fermi energy = 1.572 states/eV/atom
VASP energy = -14.416 eV per formula unit

a b c (Å): 4.851 4.851 4.385
angles (deg): 90.00 90.00 90.00
Sites, in units of the cell vectors:
Ca  0.000  0.000  0.000
Ti  0.000  0.000  0.500
Ga  0.000  0.500  0.000
Ga  0.500  0.000  0.000
Fe  0.500  0.500  0.500



Crystalline La8Pr6In at its relaxed geometry. Source: the Alexandria database, functional PBE-GGA.

Values from the calculation:
DOS at the Fermi energy = 1.457 states/eV/atom
VASP energy = -70.277 eV per formula unit

a b c (Å): 9.533 9.533 6.840
angles (deg): 90.00 90.00 120.00
Sites, in units of the cell vectors:
La  0.044  0.273  0.174
La  0.229  0.956  0.174
La  0.273  0.229  0.826
La  0.333  0.667  0.124
La  0.667  0.333  0.876
La  0.727  0.771  0.174
La  0.771  0.044  0.826
La  0.956  0.727  0.826
Pr  0.092  0.439  0.659
Pr  0.346  0.908  0.659
Pr  0.439  0.346  0.341
Pr  0.561  0.654  0.659
Pr  0.654  0.092  0.341
Pr  0.908  0.561  0.341
In  0.000  0.000  0.500



Crystalline CaCo2PH at its relaxed geometry. Source: the Alexandria database, functional PBE-GGA.

Values from the calculation:
DOS at the Fermi energy = 0.880 states/eV/atom
VASP energy = -27.884 eV per formula unit

a b c (Å): 5.414 5.414 6.623
angles (deg): 90.00 90.00 141.53
Sites, in units of the cell vectors:
Ca  0.050  0.950  0.750
Ca  0.950  0.050  0.250
Co  0.329  0.671  0.558
Co  0.329  0.671  0.942
Co  0.671  0.329  0.058
Co  0.671  0.329  0.442
P  0.226  0.774  0.250
P  0.774  0.226  0.750
H  0.500  0.500  0.000
H  0.500  0.500  0.500



Crystalline Li2ZrMo at its relaxed geometry. Source: the Alexandria database, functional PBE-GGA.

Values from the calculation:
DOS at the Fermi energy = 1.442 states/eV/atom
VASP energy = -20.842 eV per formula unit
Energy above the most stable polymorph in this dataset = 367 meV/atom

a b c (Å): 6.548 6.548 6.548
angles (deg): 90.00 90.00 90.00
Sites, in units of the cell vectors:
Li  0.000  0.000  0.000
Li  0.000  0.500  0.500
Li  0.250  0.250  0.250
Li  0.250  0.750  0.750
Li  0.500  0.000  0.500
Li  0.500  0.500  0.000
Li  0.750  0.250  0.750
Li  0.750  0.750  0.250
Zr  0.000  0.000  0.500
Zr  0.000  0.500  0.000
Zr  0.500  0.000  0.000
Zr  0.500  0.500  0.500
Mo  0.250  0.250  0.750
Mo  0.250  0.750  0.250
Mo  0.750  0.250  0.250
Mo  0.750  0.750  0.750



Crystalline TiSi2RhS at its relaxed geometry. Source: the Alexandria database, functional PBE-GGA.

Values from the calculation:
DOS at the Fermi energy = 0.940 states/eV/atom
VASP energy = -27.956 eV per formula unit
Raw formation energy = 0.453 eV per atom

a b c (Å): 4.396 4.396 4.300
angles (deg): 90.00 90.00 90.00
Sites, in units of the cell vectors:
Ti  0.000  0.000  0.000
Si  0.000  0.500  0.500
Si  0.500  0.000  0.500
Rh  0.500  0.500  0.000
S  0.000  0.000  0.500



Crystalline ThPaAl2 at its relaxed geometry. Source: the Alexandria database, functional PBE-GGA.

Values from the calculation:
DOS at the Fermi energy = 1.274 states/eV/atom
VASP energy = -25.009 eV per formula unit
Energy above the most stable polymorph in this dataset = 22 meV/atom

a b c (Å): 4.590 4.590 4.446
angles (deg): 90.00 90.00 90.00
Sites, in units of the cell vectors:
Th  0.000  0.000  0.000
Pa  0.500  0.500  0.000
Al  0.000  0.500  0.500
Al  0.500  0.000  0.500



Crystalline Ac2ZnSi3Ni4 at its relaxed geometry. Source: the Alexandria database, functional PBE-GGA.

Values from the calculation:
DOS at the Fermi energy = 0.515 states/eV/atom
VASP energy = -54.819 eV per formula unit
Raw formation energy = -0.593 eV per atom

a b c (Å): 4.206 4.206 9.873
angles (deg): 90.00 90.00 90.00
Sites, in units of the cell vectors:
Ac  0.000  0.500  0.249
Ac  0.500  0.000  0.751
Zn  0.000  0.000  0.500
Si  0.000  0.500  0.883
Si  0.500  0.000  0.117
Si  0.500  0.500  0.500
Ni  0.000  0.000  0.000
Ni  0.000  0.500  0.632
Ni  0.500  0.000  0.368
Ni  0.500  0.500  0.000



Crystalline Rb2CaBeTl at its relaxed geometry. Source: the Alexandria database, functional PBE-GGA.

Values from the calculation:
DOS at the Fermi energy = 1.355 states/eV/atom
VASP energy = -5.772 eV per formula unit

a b c (Å): 7.352 7.352 5.296
angles (deg): 90.00 90.00 90.00
Sites, in units of the cell vectors:
Rb  0.000  0.500  0.000
Rb  0.500  0.000  0.000
Ca  0.000  0.000  0.000
Be  0.000  0.000  0.500
Tl  0.500  0.500  0.500



Crystalline LiYHfCl2 at its relaxed geometry. Source: the Alexandria database, functional PBE-GGA.

Values from the calculation:
DOS at the Fermi energy = 0.734 states/eV/atom
VASP energy = -22.819 eV per formula unit
Raw formation energy = -0.159 eV per atom

a b c (Å): 4.828 4.828 5.769
angles (deg): 90.00 90.00 90.00
Sites, in units of the cell vectors:
Li  0.000  0.000  0.000
Y  0.500  0.500  0.000
Hf  0.000  0.000  0.500
Cl  0.000  0.500  0.500
Cl  0.500  0.000  0.500



Crystalline Cs3Mg2TlI8 at its relaxed geometry. Source: the Alexandria database, functional PBE-GGA.

Values from the calculation:
DOS at the Fermi energy = 0.000 states/eV/atom
VASP energy = -37.199 eV per formula unit
Raw formation energy = -1.192 eV per atom

a b c (Å): 8.847 8.847 10.964
angles (deg): 90.00 90.00 120.00
Sites, in units of the cell vectors:
Cs  0.000  0.000  0.000
Cs  0.333  0.667  0.611
Cs  0.667  0.333  0.389
Mg  0.333  0.667  0.195
Mg  0.667  0.333  0.805
Tl  0.000  0.000  0.500
I  0.170  0.339  0.300
I  0.170  0.830  0.300
I  0.333  0.667  0.952
I  0.339  0.170  0.700
I  0.661  0.830  0.300
I  0.667  0.333  0.048
I  0.830  0.170  0.700
I  0.830  0.661  0.700



Crystalline LaScOs2 at its relaxed geometry. Source: the Alexandria database, functional PBE-GGA.

Values from the calculation:
DOS at the Fermi energy = 0.829 states/eV/atom
VASP energy = -32.337 eV per formula unit
Energy above the most stable polymorph in this dataset = 299 meV/atom

a b c (Å): 3.128 3.128 27.057
angles (deg): 90.00 90.00 120.00
Sites, in units of the cell vectors:
La  0.000  0.000  0.000
La  0.333  0.667  0.667
La  0.667  0.333  0.333
Sc  0.000  0.000  0.500
Sc  0.333  0.667  0.167
Sc  0.667  0.333  0.833
Os  0.000  0.000  0.243
Os  0.000  0.000  0.757
Os  0.333  0.667  0.424
Os  0.333  0.667  0.910
Os  0.667  0.333  0.090
Os  0.667  0.333  0.576